[1]
A plane-wave DFT calculation with PBE-GGA was carried out for crystalline La5Er4Sc2 at its relaxed geometry.

extended XYZ file:
```
11
Lattice="8.8989 0.0000 0.0000 0.0000 3.5504 0.0000 -0.8469 0.0000 11.3185" Properties=species:S:1:pos:R:3 pbc="T T T"
La 0.0000 0.0000 0.0000
La 0.2761 0.0000 3.4825
La 2.1237 0.0000 9.5467
La 5.9284 0.0000 1.7718
La 7.7760 0.0000 7.8361
Er 1.7229 1.7752 6.3083
Er 2.8139 1.7752 1.4509
Er 5.2381 1.7752 9.8676
Er 6.3292 1.7752 5.0103
Sc 3.5848 0.0000 4.1802
Sc 4.4673 0.0000 7.1383
```

Results
- symmetry = P2/m, No. 10
- E_tot (eV per atom) = -4.975

---

[2]
A plane-wave DFT calculation with PBE-GGA was carried out for crystalline KY2Mn at its relaxed geometry.

extended XYZ file:
```
8
Lattice="3.5409 0.0000 0.0000 0.0000 6.0804 0.0000 0.0000 0.0000 11.9644" Properties=species:S:1:pos:R:3 pbc="T T T"
K 0.0000 0.0000 0.0000
K 1.7705 3.0402 5.9822
Y 0.0000 3.0402 2.4638
Y 0.0000 3.0402 9.5006
Y 1.7705 0.0000 3.5184
Y 1.7705 0.0000 8.4460
Mn 0.0000 0.0000 5.9822
Mn 1.7705 3.0402 0.0000
```

Results
- symmetry = Immm, No. 71
- E_tot (eV per atom) = -5.218

---

[3]
A plane-wave DFT calculation with PBE-GGA was carried out for crystalline Rb3HfBr at its relaxed geometry.

extended XYZ file:
```
5
Lattice="6.5629 0.0000 0.0000 0.0000 6.5629 0.0000 0.0000 0.0000 6.5629" Properties=species:S:1:pos:R:3 pbc="T T T"
Rb 0.0000 0.0000 3.2815
Rb 0.0000 3.2815 0.0000
Rb 3.2815 0.0000 0.0000
Hf 3.2815 3.2815 3.2815
Br 0.0000 0.0000 0.0000
```

Results
- formation energy without anion corrections (kJ per mole of atoms) = 35.41
- symmetry = Pm-3m, No. 221
- E_tot (eV per atom) = -2.539

---

[4]
A plane-wave DFT calculation with PBE-GGA was carried out for crystalline Cu2Hg2Pd7 at its relaxed geometry.

extended XYZ file:
```
11
Lattice="3.9867 -4.5666 0.0000 3.9867 4.5666 0.0000 0.0000 0.0000 5.5844" Properties=species:S:1:pos:R:3 pbc="T T T"
Cu 3.9867 2.5124 0.0000
Cu 3.9867 -2.5124 0.0000
Hg 2.5572 0.0000 2.7922
Hg 5.4162 0.0000 2.7922
Pd 0.0000 0.0000 1.4488
Pd 0.0000 0.0000 4.1355
Pd 1.9934 2.2833 1.4131
Pd 1.9934 2.2833 4.1713
Pd 1.9934 -2.2833 1.4131
Pd 1.9934 -2.2833 4.1713
Pd 3.9867 0.0000 0.0000
```

Results
- symmetry = Cmmm, No. 65
- E_tot (eV per atom) = -3.837